The following is a PBE-GGA calculation of crystalline YWN3 at its relaxed geometry, from Alexandria via LeMat-Bulk.

Lattice parameters (Å, degrees): 6.3922 3.4379 6.1864 88.21 107.30 79.91
Atoms (fractional coordinates):
N (0.3893, 0.9940, 0.1771)
N (0.1490, 0.4358, 0.6976)
N (0.9887, 0.8027, 0.9854)
N (0.7140, 0.3491, 0.5063)
N (0.1591, 0.5566, 0.4876)
N (0.6116, 0.4295, 0.9273)
W (0.8888, 0.3357, 0.8242)
W (0.3247, 0.5054, 0.0139)
Y (0.7914, 0.8456, 0.2597)
Y (0.4257, 0.9816, 0.5707)

Properties
E_form (uncorrected): -0.740 eV/atom
Spin magnetization: 0.0 μB/f.u.
DOS(E_F): 0.04 states/eV per cell